A plane-wave DFT calculation with PBE was carried out for a relaxed structure of YIn2Hg.

Cell lengths 4.4388, 4.4388, 22.4585 Å; angles 90.00, 90.00, 90.00 degrees
Closest atoms and distances in Å follow each position.
Space group I-42d (No. 122)
Unique sites:
Y 0.0000 0.0000 0.0000  4 Hg 3.14, 4 In 3.22
In 0.2457 0.2500 0.6250  4 In 3.11-3.17, 2 Hg 3.21, 2 Y 3.22
Hg 0.0000 0.0000 0.5000  4 Y 3.14, 4 In 3.21

## Properties
The electronic total energy comes out at -3.204 eV per atom.